No. 1
{
  "formula": "Pb4Se3S",
  "functional": "GGA-PBEsol",
  "state": "relaxed",
  "spacegroup": "P4/mmm",
  "e_tot_ev_per_cell": -36.15,
  "crystal_system": "tetragonal",
  "magnetic_moment_mub_per_atom": 0.0000,
  "lattice": [[4.2726, 0.0000, 0.0000], [0.0000, 4.2726, 0.0000], [0.0000, 0.0000, 12.0765]],
  "species": ["Pb", "Pb", "Pb", "Pb", "Se", "Se", "Se", "S"],
  "fractional_positions": [[0.0000, 0.0000, 0.0000], [0.0000, 0.0000, 0.5000], [0.5000, 0.5000, 0.2450], [0.5000, 0.5000, 0.7550], [0.0000, 0.0000, 0.2490], [0.0000, 0.0000, 0.7510], [0.5000, 0.5000, 0.5000], [0.5000, 0.5000, 0.0000]]
}



No. 2
{
  "formula": "BaRuNF2",
  "functional": "GGA-PBEsol",
  "state": "relaxed",
  "spacegroup": "P4/mmm",
  "e_tot_ev_per_cell": -32.28,
  "crystal_system": "tetragonal",
  "magnetic_moment_mub_per_atom": 0.0003,
  "lattice": [[4.4835, 0.0000, 0.0000], [0.0000, 4.4835, 0.0000], [0.0000, 0.0000, 3.7307]],
  "species": ["Ba", "Ru", "N", "F", "F"],
  "fractional_positions": [[0.0000, 0.0000, 0.0000], [0.5000, 0.5000, 0.5000], [0.5000, 0.5000, 0.0000], [0.0000, 0.5000, 0.5000], [0.5000, 0.0000, 0.5000]]
}



No. 3
{
  "formula": "LaZr9O20",
  "functional": "GGA-PBEsol",
  "state": "relaxed",
  "spacegroup": "P-1",
  "de_polymorph_mev_per_atom": 20.1,
  "crystal_system": "triclinic",
  "magnetic_moment_mub_per_atom": 0.0000,
  "lattice": [[6.2807, 0.0000, 0.0000], [-2.0893, 6.9470, 0.0000], [-1.0465, -2.2208, 7.7304]],
  "species": ["La", "Zr", "Zr", "Zr", "Zr", "Zr", "Zr", "Zr", "Zr", "Zr", "O", "O", "O", "O", "O", "O", "O", "O", "O", "O", "O", "O", "O", "O", "O", "O", "O", "O", "O", "O"],
  "fractional_positions": [[0.0000, 0.0000, 0.0000], [0.0000, 0.5000, 0.0000], [0.2015, 0.4023, 0.4028], [0.2033, 0.9001, 0.4019], [0.3987, 0.3014, 0.7984], [0.3988, 0.7979, 0.7999], [0.6012, 0.2021, 0.2001], [0.6013, 0.6986, 0.2016], [0.7967, 0.0999, 0.5981], [0.7985, 0.5977, 0.5972], [0.0477, 0.2408, 0.8392], [0.0521, 0.7031, 0.8367], [0.1437, 0.1715, 0.5459], [0.1498, 0.6744, 0.5438], [0.2634, 0.6261, 0.2497], [0.2726, 0.1365, 0.2669], [0.3557, 0.5747, 0.9513], [0.3726, 0.0809, 0.9429], [0.4423, 0.5197, 0.6472], [0.4430, 0.0251, 0.6454], [0.5570, 0.9749, 0.3546], [0.5577, 0.4803, 0.3528], [0.6274, 0.9191, 0.0571], [0.6443, 0.4253, 0.0487], [0.7274, 0.8635, 0.7331], [0.7366, 0.3739, 0.7503], [0.8502, 0.3256, 0.4562], [0.8563, 0.8285, 0.4541], [0.9479, 0.2969, 0.1633], [0.9523, 0.7592, 0.1608]]
}



No. 4
{
  "formula": "HfAlFe",
  "functional": "GGA-PBEsol",
  "state": "relaxed",
  "spacegroup": "Amm2",
  "crystal_system": "orthorhombic",
  "magnetic_moment_mub_per_atom": 0.2618,
  "delta_e_f_ev_per_atom": -0.404,
  "lattice": [[8.1419, 0.0000, 0.0000], [0.0000, 2.5067, 4.3736], [0.0000, -2.5067, 4.3736]],
  "species": ["Hf", "Hf", "Hf", "Hf", "Al", "Al", "Al", "Al", "Fe", "Fe", "Fe", "Fe"],
  "fractional_positions": [[0.1815, 0.0000, 0.0000], [0.2934, 0.6707, 0.6707], [0.7066, 0.6707, 0.6707], [0.8185, 0.0000, 0.0000], [0.0000, 0.4975, 0.4975], [0.5000, 0.1677, 0.1677], [0.5000, 0.1691, 0.6645], [0.5000, 0.6645, 0.1691], [0.0000, 0.4947, 0.9975], [0.0000, 0.9975, 0.4947], [0.2443, 0.3288, 0.3288], [0.7557, 0.3288, 0.3288]]
}